# 1
Material: CeSm2Cu
Method: DFT, PBE
State: optimized geometry

Properties
Energy above the lowest structure with this stoichiometry: 0 meV/atom
ΔE_f: -24 meV/atom

Cell: 3.5524 3.5524 8.4746 Å, 90.00 90.00 90.00°
Atoms (fractional coordinates):
Cu 0.5000 0.5000 0.0000
Ce 0.5000 0.5000 0.5000
Sm 0.0000 0.0000 0.7941
Sm 0.0000 0.0000 0.2059

---

# 2
Material: Ce2SmCu
Method: DFT, PBE
State: optimized geometry

Properties
Energy above the lowest structure with this stoichiometry: 211 meV/atom
ΔE_f: 264 meV/atom

Cell: 5.2224 5.2224 5.2212 Å, 59.99 59.99 60.00°
Atoms (fractional coordinates):
Cu 0.0000 0.0000 0.0000
Ce 0.2499 0.2499 0.2502
Ce 0.7501 0.7501 0.7498
Sm 0.5000 0.5000 0.5000

---

# 3
Material: Ce2SmCu6
Method: DFT, PBE
State: optimized geometry

Properties
ΔE_f: -165 meV/atom

Cell: 3.5296 7.4928 7.4928 Å, 120.00 90.00 90.00°
Atoms (fractional coordinates):
Ce 0.0000 0.3333 0.6667
Ce 0.0000 0.6667 0.3333
Sm 0.0000 0.0000 0.0000
Cu 0.5000 0.3337 0.3337
Cu 0.5000 0.6663 0.6663
Cu 0.5000 0.0000 0.6663
Cu 0.5000 0.6663 0.0000
Cu 0.5000 0.3337 0.0000
Cu 0.5000 0.0000 0.3337

---

# 4
Material: CeSm2Cu
Method: DFT, PBE
State: optimized geometry

Properties
Energy above the lowest structure with this stoichiometry: 161 meV/atom
ΔE_f: 137 meV/atom

Cell: 3.5311 5.4143 5.4143 Å, 90.00 90.00 90.00°
Atoms (fractional coordinates):
Cu 0.5000 0.0000 0.0000
Ce 0.5000 0.5000 0.5000
Sm 0.0000 0.0000 0.5000
Sm 0.0000 0.5000 0.0000

---

# 5
Material: CeSm2Cu9
Method: DFT, PBE
State: optimized geometry

Properties
ΔE_f: -131 meV/atom

Cell: 5.2364 5.2364 8.8761 Å, 72.84 72.84 60.00°
Atoms (fractional coordinates):
Ce 0.0000 0.0000 0.0000
Sm 0.8561 0.8561 0.4316
Sm 0.1439 0.1439 0.5684
Cu 0.6683 0.6683 0.9951
Cu 0.3317 0.3317 0.0049
Cu 0.5000 0.5000 0.5000
Cu 0.4206 0.4206 0.2440
Cu 0.9149 0.4206 0.2440
Cu 0.4206 0.9149 0.2440
Cu 0.5794 0.5794 0.7560
Cu 0.5794 0.0851 0.7560
Cu 0.0851 0.5794 0.7560

---

# 6
Material: Ce2SmCu4
Method: DFT, PBE
State: optimized geometry

Properties
ΔE_f: -126 meV/atom

Cell: 4.2677 4.2677 9.1107 Å, 76.45 76.45 60.00°
Atoms (fractional coordinates):
Cu 0.5951 0.5951 0.2146
Cu 0.7405 0.7405 0.7785
Cu 0.2595 0.2595 0.2215
Cu 0.4049 0.4049 0.7854
Sm 0.0000 0.0000 0.0000
Ce 0.8620 0.8620 0.4139
Ce 0.1380 0.1380 0.5861

---

Number 1: DOS(E_F) 6.99 states/eV/cell, calculated density 7.83 g/cm3, electronic total energy -4.89 eV/atom. Number 2: DOS(E_F) 11.26 states/eV/cell, calculated density 8.15 g/cm3, electronic total energy -4.91 eV/atom. Number 3: DOS(E_F) 14.02 states/eV/cell, calculated density 7.86 g/cm3, electronic total energy -4.74 eV/atom. Number 4: DOS(E_F) 7.62 states/eV/cell, calculated density 8.09 g/cm3, electronic total energy -4.73 eV/atom. Number 5: DOS(E_F) 12.11 states/eV/cell, calculated density 8.49 g/cm3, electronic total energy -4.48 eV/atom. Number 6: DOS(E_F) 10.54 states/eV/cell, calculated density 8.22 g/cm3, electronic total energy -4.84 eV/atom.